The following is a DFT calculation (PBE) of Sc2CuAgAs after structural relaxation.

magnetic moment = 0.00 μB per formula unit
total DFT energy (no corrections) = -21.19 eV per cell
formation enthalpy at 0 K = 59.33 kJ per mole of atoms

a = 5.210 Å, b = 5.210 Å, c = 4.707 Å
α = 90.00°, β = 90.00°, γ = 90.00°
Element x y z (fractional)
1 Sc 0.000 0.500 0.000
2 Sc 0.500 0.000 0.000
3 Cu 0.000 0.000 0.500
4 Ag 0.500 0.500 0.000
5 As 0.500 0.500 0.500

=====

The following is a DFT calculation (PBE) of YTaCr2 after structural relaxation.

magnetic moment = 0.00 μB per formula unit
total DFT energy (no corrections) = -35.20 eV per cell
E above lowest polymorph = 6.595 kcal/mol of atoms
formation enthalpy at 0 K = 57.01 kJ per mole of atoms

a = 2.904 Å, b = 2.904 Å, c = 8.749 Å
α = 90.00°, β = 90.00°, γ = 111.40°
Element x y z (fractional)
1 Y 0.000 0.000 0.000
2 Ta 0.000 0.000 0.500
3 Cr 0.500 0.500 0.276
4 Cr 0.500 0.500 0.724

=====

- total DFT energy (no corrections) of number 2 (YTaCr2)?
  -35.20 eV per cell

=====

- Number 2 is which compound?
  YTaCr2